DFT (PBE) results for Li2UTe6Pb3 after structural relaxation.

a b c (Å): 7.7236 7.7236 7.8762
angles (deg): 99.31 99.31 119.97
Last column: nearest neighbours and their distance in Å.
Sites, in units of the cell vectors:
Li (0.3272, 0.6728, 0.0000)  6 Te 3.04-3.18
Li (0.6728, 0.3272, 0.0000)  6 Te 3.04-3.18
U (0.0000, 0.0000, 0.0000)  6 Te 3.06-3.09
Te (0.9229, 0.5939, 0.7733)  2 Li 3.04-3.08, 1 U 3.06, 3 Pb 3.27-3.35
Te (0.7468, 0.7468, 0.2337)  1 U 3.09, 2 Li 3.18, 3 Pb 3.20-3.26
Te (0.0771, 0.4061, 0.2267)  2 Li 3.04-3.08, 1 U 3.06, 3 Pb 3.27-3.35
Te (0.5939, 0.9229, 0.7733)  2 Li 3.04-3.08, 1 U 3.06, 3 Pb 3.27-3.35
Te (0.2532, 0.2532, 0.7663)  1 U 3.09, 2 Li 3.18, 3 Pb 3.20-3.26
Te (0.4061, 0.0771, 0.2267)  2 Li 3.04-3.08, 1 U 3.06, 3 Pb 3.27-3.35
Pb (0.1620, 0.8380, 0.5000)  6 Te 3.20-3.35
Pb (0.8380, 0.1620, 0.5000)  6 Te 3.20-3.35
Pb (0.5000, 0.5000, 0.5000)  6 Te 3.26-3.27

Results
Total DFT energy (no corrections) (eV per atom): -4.35
Raw formation energy (eV/atom): -0.589